CaLaAu2 GGA-PBE optimized geometry; energy of formation = -0.691 eV per atom
1.0
7.780 1.083 -0.334
5.106 5.969 0.334
-6.245 -3.888 2.775
Ca Au La
1 2 1
direct
0.456 0.456 0.000 Ca
0.042 0.042 0.000 Au
0.796 0.296 0.500 Au
0.206 0.706 0.500 La